# Dy6Tm8Al, optimized geometry, DFT PBE
data_Dy6Tm8Al
_chemical_formula_sum 'Dy6 Tm8 Al1'
_cell_length_a 9.7660
_cell_length_b 9.7660
_cell_length_c 5.6363
_cell_angle_alpha 90.00
_cell_angle_beta 90.00
_cell_angle_gamma 120.00
_space_group_name_H-M_alt 'P -3'
_space_group_IT_number 147
loop_
_space_group_symop_operation_xyz
'x,y,z'
'-x,-y,-z'
'-y,x-y,z'
'y,-x+y,-z'
'-x+y,-x,z'
'x-y,x,-z'
loop_
_atom_site_label
_atom_site_fract_x
_atom_site_fract_y
_atom_site_fract_z
Dy1 0.0936 0.6190 0.2376
Tm1 0.0518 0.7851 0.7334
Tm2 0.3333 0.6667 0.7366
Al1 0.0000 0.0000 0.0000
# * total magnetic moment: 0.0 μB/f.u.
# * energy relative to the elements: 0.087 eV per atom

---

# Dy4Tm3Al, optimized geometry, DFT PBE
data_Dy4Tm3Al
_chemical_formula_sum 'Dy4 Tm3 Al1'
_cell_length_a 3.5111
_cell_length_b 3.5111
_cell_length_c 18.8753
_cell_angle_alpha 90.00
_cell_angle_beta 90.00
_cell_angle_gamma 90.00
_space_group_name_H-M_alt 'P 4/m m m'
_space_group_IT_number 123
_space_group_name_Hall '-P 4 2'
loop_
_atom_site_label
_atom_site_fract_x
_atom_site_fract_y
_atom_site_fract_z
Dy1 0.0000 0.0000 0.1019
Dy2 0.0000 0.0000 0.3677
Tm1 0.5000 0.5000 0.2371
Tm2 0.5000 0.5000 0.5000
Al1 0.5000 0.5000 0.0000
# * total magnetic moment: 0.0 μB/f.u.
# * energy relative to the elements: -0.079 eV per atom

---

# DyTm2Al, optimized geometry, DFT PBE
data_DyTm2Al
_chemical_formula_sum 'Dy3 Tm6 Al3'
_cell_length_a 3.5318
_cell_length_b 3.5318
_cell_length_c 30.9513
_cell_angle_alpha 90.00
_cell_angle_beta 90.00
_cell_angle_gamma 120.00
_space_group_name_H-M_alt 'R 3 m'
_space_group_IT_number 160
_space_group_name_Hall 'R 3 -2"'
loop_
_atom_site_label
_atom_site_fract_x
_atom_site_fract_y
_atom_site_fract_z
Dy1 0.0000 0.0000 0.0000
Tm1 0.0000 0.0000 0.2401
Tm2 0.0000 0.0000 0.4274
Al1 0.0000 0.0000 0.8340
# * total magnetic moment: 0.6 μB/f.u.
# * energy relative to the elements: -0.078 eV per atom

---

# Dy4TmAl, optimized geometry, DFT PBE
data_Dy4TmAl
_chemical_formula_sum 'Dy4 Tm1 Al1'
_cell_length_a 3.5096
_cell_length_b 3.5096
_cell_length_c 13.9983
_cell_angle_alpha 90.00
_cell_angle_beta 90.00
_cell_angle_gamma 90.00
_space_group_name_H-M_alt 'P 4/m m m'
_space_group_IT_number 123
_space_group_name_Hall '-P 4 2'
loop_
_atom_site_label
_atom_site_fract_x
_atom_site_fract_y
_atom_site_fract_z
Dy1 0.0000 0.0000 0.1376
Dy2 0.5000 0.5000 0.3220
Tm1 0.0000 0.0000 0.5000
Al1 0.5000 0.5000 0.0000
# * total magnetic moment: 0.0 μB/f.u.
# * energy relative to the elements: -0.119 eV per atom

---

# Dy12Tm3Al, optimized geometry, DFT PBE
data_Dy12Tm3Al
_chemical_formula_sum 'Dy12 Tm3 Al1'
_cell_length_a 4.9150
_cell_length_b 4.9150
_cell_length_c 19.9212
_cell_angle_alpha 90.00
_cell_angle_beta 90.00
_cell_angle_gamma 90.00
_space_group_name_H-M_alt 'P 4/m m m'
_space_group_IT_number 123
_space_group_name_Hall '-P 4 2'
loop_
_atom_site_label
_atom_site_fract_x
_atom_site_fract_y
_atom_site_fract_z
Dy1 0.0000 0.0000 0.0000
Dy2 0.0000 0.0000 0.2437
Dy3 0.0000 0.0000 0.5000
Dy4 0.0000 0.5000 0.1181
Dy5 0.0000 0.5000 0.3724
Tm1 0.5000 0.5000 0.2466
Tm2 0.5000 0.5000 0.5000
Al1 0.5000 0.5000 0.0000
# * total magnetic moment: 0.0 μB/f.u.
# * energy relative to the elements: -0.020 eV per atom

---

# DyTm2Al2, optimized geometry, DFT PBE
data_DyTm2Al2
_chemical_formula_sum 'Dy2 Tm4 Al4'
_cell_length_a 5.5345
_cell_length_b 3.5881
_cell_length_c 13.2276
_cell_angle_alpha 90.00
_cell_angle_beta 96.12
_cell_angle_gamma 90.00
_space_group_name_H-M_alt 'P 1 21/m 1'
_space_group_IT_number 11
loop_
_space_group_symop_operation_xyz
'x,y,z'
'-x,-y,-z'
'-x,y+1/2,-z'
'x,-y+1/2,z'
loop_
_atom_site_label
_atom_site_fract_x
_atom_site_fract_y
_atom_site_fract_z
Dy1 0.1811 0.2500 0.2355
Tm1 0.2405 0.7500 0.4623
Tm2 0.3463 0.2500 0.8881
Al1 0.1510 0.7500 0.0430
Al2 0.2924 0.2500 0.6587
# * total magnetic moment: 0.0 μB/f.u.
# * energy relative to the elements: -0.143 eV per atom

---

# Dy2TmAl9, optimized geometry, DFT PBE
data_Dy2TmAl9
_chemical_formula_sum 'Dy2 Tm1 Al9'
_cell_length_a 4.2465
_cell_length_b 4.2465
_cell_length_c 12.7397
_cell_angle_alpha 90.00
_cell_angle_beta 90.00
_cell_angle_gamma 90.00
_space_group_name_H-M_alt 'P 4/m m m'
_space_group_IT_number 123
_space_group_name_Hall '-P 4 2'
loop_
_atom_site_label
_atom_site_fract_x
_atom_site_fract_y
_atom_site_fract_z
Dy1 0.0000 0.0000 0.1674
Tm1 0.0000 0.0000 0.5000
Al1 0.0000 0.5000 0.0000
Al2 0.0000 0.5000 0.3350
Al3 0.5000 0.5000 0.1670
Al4 0.5000 0.5000 0.5000
# * total magnetic moment: 0.0 μB/f.u.
# * energy relative to the elements: -0.417 eV per atom

---

# DyTm3Al8, optimized geometry, DFT PBE
data_DyTm3Al8
_chemical_formula_sum 'Dy3 Tm9 Al24'
_cell_length_a 5.5158
_cell_length_b 5.5158
_cell_length_c 27.1535
_cell_angle_alpha 90.00
_cell_angle_beta 90.00
_cell_angle_gamma 120.00
_space_group_name_H-M_alt 'R 3 m'
_space_group_IT_number 160
_space_group_name_Hall 'R 3 -2"'
loop_
_atom_site_label
_atom_site_fract_x
_atom_site_fract_y
_atom_site_fract_z
Dy1 0.0000 0.0000 0.0000
Tm1 0.0000 0.0000 0.1248
Tm2 0.0000 0.0000 0.5002
Tm3 0.0000 0.0000 0.6244
Al1 0.0000 0.0000 0.3123
Al2 0.0000 0.0000 0.8125
Al3 0.0001 0.5000 0.0627
Al4 0.9998 0.4999 0.5621
# * total magnetic moment: 0.0 μB/f.u.
# * energy relative to the elements: -0.505 eV per atom

---

# Dy3TmAl, optimized geometry, DFT PBE
data_Dy3TmAl
_chemical_formula_sum 'Dy12 Tm4 Al4'
_cell_length_a 5.7874
_cell_length_b 11.9906
_cell_length_c 8.6699
_cell_angle_alpha 90.00
_cell_angle_beta 90.00
_cell_angle_gamma 90.00
_space_group_name_H-M_alt 'C m c m'
_space_group_IT_number 63
_space_group_name_Hall '-C 2c 2'
loop_
_atom_site_label
_atom_site_fract_x
_atom_site_fract_y
_atom_site_fract_z
Dy1 0.0000 0.0603 0.2500
Dy2 0.0000 0.1831 0.5710
Tm1 0.0000 0.4436 0.7500
Al1 0.0000 0.3089 0.2500
# * total magnetic moment: 0.0 μB/f.u.
# * energy relative to the elements: 0.350 eV per atom

---

# DyTmAl4, optimized geometry, DFT PBE
data_DyTmAl4
_chemical_formula_sum 'Dy4 Tm4 Al16'
_cell_length_a 7.8279
_cell_length_b 7.8279
_cell_length_c 7.8279
_cell_angle_alpha 90.00
_cell_angle_beta 90.00
_cell_angle_gamma 90.00
_space_group_name_H-M_alt 'F -4 3 m'
_space_group_IT_number 216
_space_group_name_Hall 'F -4 2 3'
loop_
_atom_site_label
_atom_site_fract_x
_atom_site_fract_y
_atom_site_fract_z
Dy1 0.0000 0.0000 0.0000
Tm1 0.2500 0.2500 0.7500
Al1 0.1250 0.1250 0.3750
# * total magnetic moment: 0.0 μB/f.u.
# * energy relative to the elements: -0.508 eV per atom

---

# DyTm7Al5, optimized geometry, DFT PBE
data_DyTm7Al5
_chemical_formula_sum 'Dy2 Tm14 Al10'
_cell_length_a 6.0243
_cell_length_b 10.1520
_cell_length_c 10.5825
_cell_angle_alpha 90.00
_cell_angle_beta 90.00
_cell_angle_gamma 90.00
_space_group_name_H-M_alt 'I m m 2'
_space_group_IT_number 44
loop_
_space_group_symop_operation_xyz
'x,y,z'
'-x,-y,z'
'-x,y,z'
'x,-y,z'
'x+1/2,y+1/2,z+1/2'
'-x+1/2,-y+1/2,z+1/2'
'-x+1/2,y+1/2,z+1/2'
'x+1/2,-y+1/2,z+1/2'
loop_
_atom_site_label
_atom_site_fract_x
_atom_site_fract_y
_atom_site_fract_z
Dy1 0.0000 0.0000 0.0000
Tm1 0.0000 0.0000 0.3480
Tm2 0.0000 0.0000 0.6720
Tm3 0.0000 0.3061 0.5094
Tm4 0.0000 0.3380 0.0236
Tm5 0.0000 0.5000 0.7438
Al1 0.0000 0.5000 0.2777
Al2 0.2467 0.2404 0.7707
# * total magnetic moment: 0.0 μB/f.u.
# * energy relative to the elements: -0.227 eV per atom

---

# DyTm3Al3, optimized geometry, DFT PBE
data_DyTm3Al3
_chemical_formula_sum 'Dy4 Tm12 Al12'
_cell_length_a 10.0669
_cell_length_b 10.1670
_cell_length_c 6.8677
_cell_angle_alpha 90.00
_cell_angle_beta 90.00
_cell_angle_gamma 90.00
_space_group_name_H-M_alt 'C m m m'
_space_group_IT_number 65
_space_group_name_Hall '-C 2 2'
loop_
_atom_site_label
_atom_site_fract_x
_atom_site_fract_y
_atom_site_fract_z
Dy1 0.2417 0.0000 0.0000
Tm1 0.0000 0.2435 0.5000
Tm2 0.0000 0.2487 0.0000
Tm3 0.2418 0.0000 0.5000
Al1 0.0000 0.5000 0.2568
Al2 0.2500 0.2500 0.2538
# * total magnetic moment: 0.0 μB/f.u.
# * energy relative to the elements: -0.260 eV per atom

---

# DyTm5Al4, optimized geometry, DFT PBE
data_DyTm5Al4
_chemical_formula_sum 'Dy1 Tm5 Al4'
_cell_length_a 3.5280
_cell_length_b 3.5280
_cell_length_c 19.4293
_cell_angle_alpha 90.00
_cell_angle_beta 90.00
_cell_angle_gamma 90.00
_space_group_name_H-M_alt 'P 4/m m m'
_space_group_IT_number 123
_space_group_name_Hall '-P 4 2'
loop_
_atom_site_label
_atom_site_fract_x
_atom_site_fract_y
_atom_site_fract_z
Dy1 0.0000 0.0000 0.0000
Tm1 0.5000 0.5000 0.1284
Tm2 0.5000 0.5000 0.3152
Tm3 0.5000 0.5000 0.5000
Al1 0.0000 0.0000 0.2219
Al2 0.0000 0.0000 0.4075
# * total magnetic moment: 0.0 μB/f.u.
# * energy relative to the elements: -0.312 eV per atom

---

# Dy2Tm5Al4, optimized geometry, DFT PBE
data_Dy2Tm5Al4
_chemical_formula_sum 'Dy4 Tm10 Al8'
_cell_length_a 3.3157
_cell_length_b 9.7924
_cell_length_c 18.0502
_cell_angle_alpha 90.00
_cell_angle_beta 90.00
_cell_angle_gamma 90.00
_space_group_name_H-M_alt 'I m m m'
_space_group_IT_number 71
_space_group_name_Hall '-I 2 2'
loop_
_atom_site_label
_atom_site_fract_x
_atom_site_fract_y
_atom_site_fract_z
Dy1 0.0000 0.0000 0.1704
Tm1 0.0000 0.3358 0.1812
Tm2 0.0000 0.5000 0.5000
Al1 0.0000 0.0000 0.4296
Al2 0.0000 0.2898 0.0000
# * total magnetic moment: 0.0 μB/f.u.
# * energy relative to the elements: 0.063 eV per atom

---

# Dy4TmAl4, optimized geometry, DFT PBE
data_Dy4TmAl4
_chemical_formula_sum 'Dy8 Tm2 Al8'
_cell_length_a 8.7841
_cell_length_b 8.7841
_cell_length_c 5.7902
_cell_angle_alpha 90.00
_cell_angle_beta 90.00
_cell_angle_gamma 90.00
_space_group_name_H-M_alt 'P 42/n'
_space_group_IT_number 86
loop_
_space_group_symop_operation_xyz
'x,y,z'
'-x,-y,-z'
'-y,x+1/2,z+1/2'
'y,-x+1/2,-z+1/2'
'-x+1/2,-y+1/2,z'
'x+1/2,y+1/2,-z'
'y+1/2,-x,z+1/2'
'-y+1/2,x,-z+1/2'
loop_
_atom_site_label
_atom_site_fract_x
_atom_site_fract_y
_atom_site_fract_z
Dy1 0.0830 0.8238 0.1317
Tm1 0.2500 0.2500 0.7500
Al1 0.0564 0.1547 0.3520
# * total magnetic moment: 0.0 μB/f.u.
# * energy relative to the elements: -0.164 eV per atom

---

# Dy4Tm5Al, optimized geometry, DFT PBE
data_Dy4Tm5Al
_chemical_formula_sum 'Dy4 Tm5 Al1'
_cell_length_a 3.4979
_cell_length_b 3.4979
_cell_length_c 23.8706
_cell_angle_alpha 90.00
_cell_angle_beta 90.00
_cell_angle_gamma 90.00
_space_group_name_H-M_alt 'P 4/m m m'
_space_group_IT_number 123
_space_group_name_Hall '-P 4 2'
loop_
_atom_site_label
_atom_site_fract_x
_atom_site_fract_y
_atom_site_fract_z
Dy1 0.0000 0.0000 0.1048
Dy2 0.0000 0.0000 0.3146
Tm1 0.5000 0.5000 0.0000
Tm2 0.5000 0.5000 0.2098
Tm3 0.5000 0.5000 0.4208
Al1 0.0000 0.0000 0.5000
# * total magnetic moment: 0.0 μB/f.u.
# * energy relative to the elements: -0.063 eV per atom

---

# Dy4TmAl2, optimized geometry, DFT PBE
data_Dy4TmAl2
_chemical_formula_sum 'Dy8 Tm2 Al4'
_cell_length_a 5.6343
_cell_length_b 5.6343
_cell_length_c 12.6289
_cell_angle_alpha 90.00
_cell_angle_beta 90.00
_cell_angle_gamma 90.00
_space_group_name_H-M_alt 'I 4/m m m'
_space_group_IT_number 139
_space_group_name_Hall '-I 4 2'
loop_
_atom_site_label
_atom_site_fract_x
_atom_site_fract_y
_atom_site_fract_z
Dy1 0.0000 0.5000 0.0000
Dy2 0.0000 0.5000 0.2500
Tm1 0.0000 0.0000 0.0000
Al1 0.0000 0.0000 0.3853
# * total magnetic moment: 0.0 μB/f.u.
# * energy relative to the elements: 0.281 eV per atom

---

# DyTm3Al2, optimized geometry, DFT PBE
data_DyTm3Al2
_chemical_formula_sum 'Dy4 Tm12 Al8'
_cell_length_a 15.6276
_cell_length_b 5.1337
_cell_length_c 8.9049
_cell_angle_alpha 90.00
_cell_angle_beta 120.14
_cell_angle_gamma 90.00
_space_group_name_H-M_alt 'C 1 2/m 1'
_space_group_IT_number 12
loop_
_space_group_symop_operation_xyz
'x,y,z'
'-x,-y,-z'
'-x,y,-z'
'x,-y,z'
'x+1/2,y+1/2,z'
'-x+1/2,-y+1/2,-z'
'-x+1/2,y+1/2,-z'
'x+1/2,-y+1/2,z'
loop_
_atom_site_label
_atom_site_fract_x
_atom_site_fract_y
_atom_site_fract_z
Dy1 0.1312 0.0000 0.1774
Tm1 0.0596 0.0000 0.7160
Tm2 0.1173 0.5000 0.5364
Tm3 0.1868 0.5000 0.9907
Al1 0.0261 0.5000 0.1613
Al2 0.2342 0.0000 0.6003
# * total magnetic moment: 0.0 μB/f.u.
# * energy relative to the elements: -0.191 eV per atom

---

# Dy2Tm2Al3, optimized geometry, DFT PBE
data_Dy2Tm2Al3
_chemical_formula_sum 'Dy4 Tm4 Al6'
_cell_length_a 3.5197
_cell_length_b 27.9460
_cell_length_c 3.5257
_cell_angle_alpha 90.00
_cell_angle_beta 90.00
_cell_angle_gamma 90.00
_space_group_name_H-M_alt 'C m m m'
_space_group_IT_number 65
_space_group_name_Hall '-C 2 2'
loop_
_atom_site_label
_atom_site_fract_x
_atom_site_fract_y
_atom_site_fract_z
Dy1 0.0000 0.1932 0.0000
Tm1 0.0000 0.0637 0.0000
Al1 0.0000 0.3718 0.5000
Al2 0.0000 0.5000 0.5000
# * total magnetic moment: 0.0 μB/f.u.
# * energy relative to the elements: -0.283 eV per atom

---

# Dy3TmAl4, optimized geometry, DFT PBE
data_Dy3TmAl4
_chemical_formula_sum 'Dy3 Tm1 Al4'
_cell_length_a 3.5842
_cell_length_b 3.5842
_cell_length_c 14.3367
_cell_angle_alpha 90.00
_cell_angle_beta 90.00
_cell_angle_gamma 90.00
_space_group_name_H-M_alt 'P 4/m m m'
_space_group_IT_number 123
_space_group_name_Hall '-P 4 2'
loop_
_atom_site_label
_atom_site_fract_x
_atom_site_fract_y
_atom_site_fract_z
Dy1 0.0000 0.0000 0.0000
Dy2 0.0000 0.0000 0.2523
Tm1 0.0000 0.0000 0.5000
Al1 0.5000 0.5000 0.1262
Al2 0.5000 0.5000 0.3789
# * total magnetic moment: 0.0 μB/f.u.
# * energy relative to the elements: -0.395 eV per atom

---

# Dy5TmAl6, optimized geometry, DFT PBE
data_Dy5TmAl6
_chemical_formula_sum 'Dy5 Tm1 Al6'
_cell_length_a 5.0727
_cell_length_b 7.1858
_cell_length_c 8.0201
_cell_angle_alpha 90.00
_cell_angle_beta 108.22
_cell_angle_gamma 90.00
_space_group_name_H-M_alt 'P 1 2/m 1'
_space_group_IT_number 10
loop_
_space_group_symop_operation_xyz
'x,y,z'
'-x,-y,-z'
'-x,y,-z'
'x,-y,z'
loop_
_atom_site_label
_atom_site_fract_x
_atom_site_fract_y
_atom_site_fract_z
Dy1 0.0000 0.0000 0.0000
Dy2 0.3324 0.0000 0.6650
Dy3 0.3337 0.5000 0.6676
Tm1 0.0000 0.5000 0.0000
Al1 0.1658 0.2520 0.3314
Al2 0.5000 0.2514 0.0000
# * total magnetic moment: 0.0 μB/f.u.
# * energy relative to the elements: -0.396 eV per atom

---

# DyTm2Al, optimized geometry, DFT PBE
data_DyTm2Al
_chemical_formula_sum 'Dy3 Tm6 Al3'
_cell_length_a 3.4087
_cell_length_b 3.4087
_cell_length_c 34.1767
_cell_angle_alpha 90.00
_cell_angle_beta 90.00
_cell_angle_gamma 120.00
_space_group_name_H-M_alt 'R -3 m'
_space_group_IT_number 166
_space_group_name_Hall '-R 3 2"'
loop_
_atom_site_label
_atom_site_fract_x
_atom_site_fract_y
_atom_site_fract_z
Dy1 0.0000 0.0000 0.0000
Tm1 0.0000 0.0000 0.0999
Al1 0.0000 0.0000 0.5000
# * total magnetic moment: 0.8 μB/f.u.
# * energy relative to the elements: 0.113 eV per atom